(1)
This record from Alexandria via LeMat-Bulk describes a geometry-optimized InHRh3 structure. The functional is PBE.

Output
Crystal system ... monoclinic
Final energy ... -55.5 eV for the cell shown

abc: 4.460 7.351 4.813
angles: 90.00 115.29 90.00
Space group P2_1/m (No. 11)
One atom of each set of equivalent atoms:
In  0.120  0.250  0.008
H  0.234  0.250  0.552
Rh  0.211  0.750  0.625
Rh  0.473  0.569  0.243

***

(2)
This record from Alexandria via LeMat-Bulk describes a geometry-optimized Mg2AlVB structure. The functional is PBE.

Output
Crystal system ... tetragonal
Final energy ... -14.5 eV for the cell shown

abc: 4.859 4.859 4.671
angles: 90.00 90.00 90.00
Space group P4/mmm (No. 123)
One atom of each set of equivalent atoms:
Mg  0.000  0.500  0.000
Al  0.000  0.000  0.000
V  0.000  0.000  0.500
B  0.500  0.500  0.500

***

(3)
This record from Alexandria via LeMat-Bulk describes a geometry-optimized Np2ScUP4 structure. The functional is PBE.

Output
Crystal system ... monoclinic
Final energy ... -73.4 eV for the cell shown

abc: 6.713 3.880 6.796
angles: 90.00 109.17 90.00
Space group P2/m (No. 10)
One atom of each set of equivalent atoms:
Np  0.000  0.000  0.000
Np  0.000  0.500  0.500
Sc  0.500  0.000  0.500
U  0.500  0.500  0.000
P  0.257  0.000  0.746
P  0.259  0.500  0.256

***

(4)
This record from Alexandria via LeMat-Bulk describes a geometry-optimized InTePtN2 structure. The functional is PBE.

Output
Crystal system ... tetragonal
E_form (uncorrected) ... 7.9 eV/f.u.
Final energy ... -20.7 eV for the cell shown

abc: 4.119 4.119 6.374
angles: 90.00 90.00 90.00
Space group P4/mmm (No. 123)
One atom of each set of equivalent atoms:
In  0.000  0.000  0.000
Te  0.000  0.000  0.500
Pt  0.500  0.500  0.500
N  0.000  0.500  0.000

***

(5)
This record from Alexandria via LeMat-Bulk describes a geometry-optimized CeTmPb2 structure. The functional is PBE.

Output
Crystal system ... tetragonal
Final energy ... -19.4 eV for the cell shown

abc: 5.051 5.051 4.487
angles: 90.00 90.00 90.00
Space group P4/mmm (No. 123)
One atom of each set of equivalent atoms:
Ce  0.000  0.000  0.000
Tm  0.500  0.500  0.000
Pb  0.000  0.500  0.500

***

(6)
This record from Alexandria via LeMat-Bulk describes a geometry-optimized KSnMo2 structure. The functional is PBE.

Output
Crystal system ... tetragonal
Final energy ... -82.1 eV for the cell shown

abc: 8.189 8.189 5.543
angles: 90.00 90.00 90.00
Space group I-42d (No. 122)
One atom of each set of equivalent atoms:
K  0.000  0.000  0.000
Sn  0.000  0.000  0.500
Mo  0.205  0.250  0.625